A relaxed Y2TaBr crystal, computed with GGA-PBE.

## Properties
- N(E_F) (states/eV per atom) = 1.306
- formation energy from raw total energies (eV per atom) = 0.359
- offset from the most stable computed form (meV/atom) = 639
- calculated total energy (eV per atom) = -6.25

Cell: 4.3374 4.3374 10.7117 Å, 90.00 90.00 90.00°
Space group I-4m2 (No. 119)
Inequivalent atoms, fractional coordinates:
Y1 0.0000 0.0000 0.0000 x2
Y2 0.0000 0.5000 0.2500 x2
Ta1 0.0000 0.0000 0.5000 x2
Br1 0.0000 0.5000 0.7500 x2

---

A relaxed Sc2CoSn crystal, computed with GGA-PBE.

## Properties
- N(E_F) (states/eV per atom) = 0.620
- calculated total energy (eV per atom) = -6.31
- formation enthalpy at 0 K (eV/atom) = -0.369

Cell: 4.5508 4.5508 3.7194 Å, 90.00 90.00 90.00°
Space group P4/mmm (No. 123)
Inequivalent atoms, fractional coordinates:
Sc1 0.0000 0.5000 0.0000 x2
Co1 0.0000 0.0000 0.5000 x1
Sn1 0.5000 0.5000 0.5000 x1

---

A relaxed TbDy3Hg7 crystal, computed with GGA-PBE.

## Properties
- N(E_F) (states/eV per atom) = 1.032
- calculated total energy (eV per atom) = -2.08
- formation enthalpy at 0 K (eV/atom) = -0.210

Cell: 3.6004 31.3995 12.6486 Å, 90.00 90.00 90.00°
Space group Cmcm (No. 63)
Inequivalent atoms, fractional coordinates:
Tb1 0.0000 0.0720 0.2500 x4
Dy1 0.0000 0.0686 0.5472 x8
Dy2 0.0000 0.1885 0.2500 x4
Hg1 0.0000 0.2698 0.5784 x8
Hg2 0.0000 0.3711 0.5969 x8
Hg3 0.0000 0.4222 0.2500 x4
Hg4 0.0000 0.4888 0.6173 x8

---

A relaxed Sm3ScIn4 crystal, computed with GGA-PBE.

## Properties
- N(E_F) (states/eV per atom) = 0.508
- calculated total energy (eV per atom) = -4.40
- formation enthalpy at 0 K (eV/atom) = -0.473

Cell: 3.7195 3.7195 15.4451 Å, 90.00 90.00 90.00°
Space group P4/mmm (No. 123)
Inequivalent atoms, fractional coordinates:
Sm1 0.0000 0.0000 0.0000 x1
Sm2 0.0000 0.0000 0.2613 x2
Sc1 0.0000 0.0000 0.5000 x1
In1 0.5000 0.5000 0.1309 x2
In2 0.5000 0.5000 0.3928 x2